Ca4CdAg5 GGA-PBE optimized geometry; crystal system = tetragonal; density = 5.555 g/cm3; calculated formation energy = -260 kJ/mol of formula units
1.0
3.679 0.000 0.000
0.000 3.679 0.000
0.000 0.000 17.935
Ag Cd Ca
5 1 4
Direct
0.500 0.500 0.291
0.500 0.500 0.916
0.500 0.500 0.084
0.500 0.500 0.500
0.500 0.500 0.709
0.000 0.000 0.000
0.000 0.000 0.812
0.000 0.000 0.604
0.000 0.000 0.396
0.000 0.000 0.188

Ac3GaSn6Pd2 GGA-PBE optimized geometry; crystal system = trigonal; density = 7.709 g/cm3; calculated formation energy = -390 kJ/mol of formula units
1.0
-6.274 -0.950 -0.647
3.647 -4.494 2.682
-1.586 4.207 9.204
Ga Sn Ac Pd
1 6 3 2
Direct
0.000 0.000 0.500
0.172 0.343 0.274
0.828 0.172 0.726
0.828 0.657 0.726
0.172 0.828 0.274
0.343 0.172 0.726
0.657 0.828 0.274
0.667 0.333 0.418
0.000 0.000 0.000
0.333 0.667 0.582
0.667 0.333 0.933
0.333 0.667 0.067

So what do the calculations give for N(E_F)? Going down the list: 0.538 0.471 states/eV/atom.
So what do the calculations give for total moment? Going down the list: 0.0 0.0 μB per cell.